1.
! In2PCl | Alexandria | PBE-GGA | optimized geometry; values from VASP
&SYSTEM
  ibrav = 0, nat = 4, ntyp = 3
/
ATOMIC_SPECIES
In 114.82 In.upf
P 30.97 P.upf
Cl 35.45 Cl.upf
ATOMIC_POSITIONS angstrom
In -0.001 0.000 1.526
In 3.599 0.000 6.075
P 1.824 1.806 0.000
Cl -0.025 1.806 3.800
CELL_PARAMETERS angstrom
3.647 0.000 0.000
0.000 3.611 0.000
-0.050 0.000 7.600
! Formation energy without anion corrections = -0.131 eV per atom
! E above lowest polymorph = 69 kJ/mol of formula units
! Magnetization = 0.00 μB/cell
! Crystal system = monoclinic
! Energy = -0.1218 Ha/atom

=====

2.
! InPCl2 | Alexandria | PBE-GGA | optimized geometry; values from VASP
&SYSTEM
  ibrav = 0, nat = 8, ntyp = 3
/
ATOMIC_SPECIES
In 114.82 In.upf
P 30.97 P.upf
Cl 35.45 Cl.upf
ATOMIC_POSITIONS angstrom
In 0.000 0.000 0.000
In 0.000 2.795 3.999
P 2.795 0.000 3.999
P 0.000 0.000 7.998
Cl 1.398 -0.818 5.999
Cl 1.977 1.398 2.000
Cl 1.398 3.613 -2.000
Cl 0.818 1.398 9.998
CELL_PARAMETERS angstrom
-2.795 2.795 7.998
2.795 -2.795 7.998
2.795 2.795 -7.998
! Formation energy without anion corrections = 0.117 eV per atom
! E above lowest polymorph = 213 kJ/mol of formula units
! Magnetization = 0.00 μB/cell
! Crystal system = tetragonal
! Energy = -0.1045 Ha/atom

=====

3.
! InPCl2 | Alexandria | PBE-GGA | optimized geometry; values from VASP
&SYSTEM
  ibrav = 0, nat = 4, ntyp = 3
/
ATOMIC_SPECIES
In 114.82 In.upf
P 30.97 P.upf
Cl 35.45 Cl.upf
ATOMIC_POSITIONS angstrom
In 0.000 0.000 0.000
P 8.124 0.000 4.396
Cl 1.161 0.000 2.374
Cl 5.192 0.000 0.511
CELL_PARAMETERS angstrom
7.024 -1.764 0.000
7.024 1.764 0.000
-0.576 0.000 5.392
! Formation energy without anion corrections = -0.147 eV per atom
! E above lowest polymorph = 111 kJ/mol of formula units
! Magnetization = 0.00 μB/cell
! Crystal system = monoclinic
! Energy = -0.1142 Ha/atom

=====

4.
! InPCl2 | Alexandria | PBE-GGA | optimized geometry; values from VASP
&SYSTEM
  ibrav = 0, nat = 4, ntyp = 3
/
ATOMIC_SPECIES
In 114.82 In.upf
P 30.97 P.upf
Cl 35.45 Cl.upf
ATOMIC_POSITIONS angstrom
In 0.000 0.000 0.000
P 1.749 1.749 1.749
Cl 3.498 3.498 3.498
Cl 5.247 5.247 5.247
CELL_PARAMETERS angstrom
0.000 3.498 3.498
3.498 0.000 3.498
3.498 3.498 0.000
! Formation energy without anion corrections = 0.245 eV per atom
! E above lowest polymorph = 262 kJ/mol of formula units
! Magnetization = 1.86 μB/cell
! Crystal system = cubic
! Energy = -0.0998 Ha/atom

=====

5.
! InPCl2 | Alexandria | PBE-GGA | optimized geometry; values from VASP
&SYSTEM
  ibrav = 0, nat = 4, ntyp = 3
/
ATOMIC_SPECIES
In 114.82 In.upf
P 30.97 P.upf
Cl 35.45 Cl.upf
ATOMIC_POSITIONS angstrom
In 0.000 0.000 0.000
P 0.000 0.000 14.233
Cl 0.000 0.000 11.944
Cl 0.000 0.000 16.521
CELL_PARAMETERS angstrom
1.696 0.979 9.488
-1.696 0.979 9.488
0.000 -1.958 9.488
! Formation energy without anion corrections = -0.084 eV per atom
! E above lowest polymorph = 136 kJ/mol of formula units
! Magnetization = 0.00 μB/cell
! Crystal system = trigonal
! Energy = -0.1119 Ha/atom

=====

6.
! InPCl2 | Alexandria | PBE-GGA | optimized geometry; values from VASP
&SYSTEM
  ibrav = 0, nat = 4, ntyp = 3
/
ATOMIC_SPECIES
In 114.82 In.upf
P 30.97 P.upf
Cl 35.45 Cl.upf
ATOMIC_POSITIONS angstrom
In 0.000 0.000 0.000
P 3.630 3.630 3.630
Cl 1.815 1.815 1.815
Cl 5.445 5.445 5.445
CELL_PARAMETERS angstrom
0.000 3.630 3.630
3.630 0.000 3.630
3.630 3.630 0.000
! Formation energy without anion corrections = 0.298 eV per atom
! E above lowest polymorph = 283 kJ/mol of formula units
! Magnetization = 2.00 μB/cell
! Crystal system = cubic
! Energy = -0.0978 Ha/atom

=====

7.
! InPCl2 | Alexandria | PBE-GGA | optimized geometry; values from VASP
&SYSTEM
  ibrav = 0, nat = 4, ntyp = 3
/
ATOMIC_SPECIES
In 114.82 In.upf
P 30.97 P.upf
Cl 35.45 Cl.upf
ATOMIC_POSITIONS angstrom
In 0.000 0.000 0.000
P 0.000 0.000 14.375
Cl 0.000 0.000 2.742
Cl 0.000 0.000 26.007
CELL_PARAMETERS angstrom
1.620 0.935 9.583
-1.620 0.935 9.583
0.000 -1.870 9.583
! Formation energy without anion corrections = 0.200 eV per atom
! E above lowest polymorph = 245 kJ/mol of formula units
! Magnetization = 0.00 μB/cell
! Crystal system = trigonal
! Energy = -0.1015 Ha/atom

=====

8.
! InPCl2 | Alexandria | PBE-GGA | optimized geometry; values from VASP
&SYSTEM
  ibrav = 0, nat = 4, ntyp = 3
/
ATOMIC_SPECIES
In 114.82 In.upf
P 30.97 P.upf
Cl 35.45 Cl.upf
ATOMIC_POSITIONS angstrom
In 0.000 0.000 0.000
P 0.000 0.000 4.988
Cl 1.766 0.000 3.248
Cl 0.000 2.902 1.740
CELL_PARAMETERS angstrom
-1.766 2.902 4.988
1.766 -2.902 4.988
1.766 2.902 -4.988
! Formation energy without anion corrections = -0.141 eV per atom
! E above lowest polymorph = 113 kJ/mol of formula units
! Magnetization = 0.00 μB/cell
! Crystal system = orthorhombic
! Energy = -0.1140 Ha/atom

=====

9.
! In2P2Cl | Alexandria | PBE-GGA | optimized geometry; values from VASP
&SYSTEM
  ibrav = 0, nat = 5, ntyp = 3
/
ATOMIC_SPECIES
In 114.82 In.upf
P 30.97 P.upf
Cl 35.45 Cl.upf
ATOMIC_POSITIONS angstrom
In 0.000 0.000 2.144
In 0.000 0.000 17.817
P 1.703 0.000 4.990
P 0.000 1.703 4.990
Cl 0.000 0.000 9.981
CELL_PARAMETERS angstrom
-1.703 1.703 9.981
1.703 -1.703 9.981
1.703 1.703 -9.981
! Formation energy without anion corrections = -0.112 eV per atom
! E above lowest polymorph = 0 kJ/mol of formula units
! Magnetization = 0.00 μB/cell
! Crystal system = tetragonal
! Energy = -0.1374 Ha/atom

=====

10.
! InPCl2 | Alexandria | PBE-GGA | optimized geometry; values from VASP
&SYSTEM
  ibrav = 0, nat = 4, ntyp = 3
/
ATOMIC_SPECIES
In 114.82 In.upf
P 30.97 P.upf
Cl 35.45 Cl.upf
ATOMIC_POSITIONS angstrom
In 0.000 0.000 0.000
P 1.706 0.000 2.845
Cl 0.000 2.205 2.845
Cl 1.706 2.205 0.000
CELL_PARAMETERS angstrom
3.411 0.000 0.000
0.000 4.410 0.000
0.000 0.000 5.690
! Formation energy without anion corrections = 0.062 eV per atom
! E above lowest polymorph = 192 kJ/mol of formula units
! Magnetization = 0.00 μB/cell
! Crystal system = orthorhombic
! Energy = -0.1065 Ha/atom

=====

11.
! InPCl2 | Alexandria | PBE-GGA | optimized geometry; values from VASP
&SYSTEM
  ibrav = 0, nat = 4, ntyp = 3
/
ATOMIC_SPECIES
In 114.82 In.upf
P 30.97 P.upf
Cl 35.45 Cl.upf
ATOMIC_POSITIONS angstrom
In 0.000 0.000 0.000
P 2.609 2.609 0.000
Cl 0.000 2.609 1.663
Cl 2.609 0.000 1.663
CELL_PARAMETERS angstrom
5.218 0.000 0.000
0.000 5.218 0.000
0.000 0.000 3.327
! Formation energy without anion corrections = 0.271 eV per atom
! E above lowest polymorph = 272 kJ/mol of formula units
! Magnetization = 0.34 μB/cell
! Crystal system = tetragonal
! Energy = -0.0988 Ha/atom

=====

12.
! In2PCl | Alexandria | PBE-GGA | optimized geometry; values from VASP
&SYSTEM
  ibrav = 0, nat = 4, ntyp = 3
/
ATOMIC_SPECIES
In 114.82 In.upf
P 30.97 P.upf
Cl 35.45 Cl.upf
ATOMIC_POSITIONS angstrom
In 0.000 0.000 0.000
In 1.871 1.871 3.818
P 0.000 0.000 3.264
Cl 1.871 1.871 6.568
CELL_PARAMETERS angstrom
3.742 0.000 0.000
0.000 3.742 0.000
0.000 0.000 8.159
! Formation energy without anion corrections = -0.192 eV per atom
! E above lowest polymorph = 45 kJ/mol of formula units
! Magnetization = 0.00 μB/cell
! Crystal system = tetragonal
! Energy = -0.1241 Ha/atom

=====

13.
! InPCl2 | Alexandria | PBE-GGA | optimized geometry; values from VASP
&SYSTEM
  ibrav = 0, nat = 4, ntyp = 3
/
ATOMIC_SPECIES
In 114.82 In.upf
P 30.97 P.upf
Cl 35.45 Cl.upf
ATOMIC_POSITIONS angstrom
In 0.000 0.000 0.000
P 0.000 0.000 13.447
Cl 0.000 0.000 6.571
Cl 0.000 0.000 20.323
CELL_PARAMETERS angstrom
1.681 0.970 8.965
-1.681 0.970 8.965
0.000 -1.941 8.965
! Formation energy without anion corrections = 0.201 eV per atom
! E above lowest polymorph = 246 kJ/mol of formula units
! Magnetization = 0.00 μB/cell
! Crystal system = trigonal
! Energy = -0.1014 Ha/atom

=====

14.
! InPCl2 | Alexandria | PBE-GGA | optimized geometry; values from VASP
&SYSTEM
  ibrav = 0, nat = 4, ntyp = 3
/
ATOMIC_SPECIES
In 114.82 In.upf
P 30.97 P.upf
Cl 35.45 Cl.upf
ATOMIC_POSITIONS angstrom
In 0.000 0.000 0.000
P -0.069 2.158 1.393
Cl 0.104 0.000 4.620
Cl 2.697 2.158 1.883
CELL_PARAMETERS angstrom
4.815 0.000 0.000
0.000 4.315 0.000
-2.206 0.000 5.840
! Formation energy without anion corrections = -0.430 eV per atom
! E above lowest polymorph = 2 kJ/mol of formula units
! Magnetization = 0.00 μB/cell
! Crystal system = monoclinic
! Energy = -0.1246 Ha/atom

=====

15.
! InPCl2 | Alexandria | PBE-GGA | optimized geometry; values from VASP
&SYSTEM
  ibrav = 0, nat = 4, ntyp = 3
/
ATOMIC_SPECIES
In 114.82 In.upf
P 30.97 P.upf
Cl 35.45 Cl.upf
ATOMIC_POSITIONS angstrom
In 0.000 0.000 0.000
P 3.203 0.000 0.000
Cl 1.602 2.091 1.636
Cl 1.602 -2.091 1.636
CELL_PARAMETERS angstrom
3.203 -4.182 0.000
3.203 4.182 0.000
0.000 0.000 3.272
! Formation energy without anion corrections = 0.271 eV per atom
! E above lowest polymorph = 272 kJ/mol of formula units
! Magnetization = 0.00 μB/cell
! Crystal system = orthorhombic
! Energy = -0.0988 Ha/atom